# 1
# YCo

YCo at its PBEsol-relaxed geometry (SCAN, Alexandria via LeMat-Bulk).

Cell: 3.9751 10.1101 3.8081 Å, 90.00 90.00 90.00°
Last column: nearest neighbours and their distance in Å.
Fractional positions:
Y 0.0000 0.1444 0.2500  7 Co 2.85-3.01
Y 0.0000 0.8556 0.7500  7 Co 2.85-3.01
Y 0.5000 0.3556 0.7500  7 Co 2.85-3.01
Y 0.5000 0.6444 0.2500  7 Co 2.85-3.01
Co 0.0000 0.4426 0.2500  2 Co 2.23
Co 0.0000 0.5574 0.7500  2 Co 2.23
Co 0.5000 0.0574 0.7500  2 Co 2.23
Co 0.5000 0.9426 0.2500  2 Co 2.23

## Properties
The value obtained for the calculated formation energy is -0.2 eV per formula unit. For the total magnetization, the calculation gives 0.6 μB/f.u.

=====

# 2
# YCo2

YCo2 at its PBEsol-relaxed geometry (SCAN, Alexandria via LeMat-Bulk).

Cell: 4.9800 4.9800 4.9800 Å, 60.00 60.00 60.00°
Last column: nearest neighbours and their distance in Å.
Fractional positions:
Y 0.1250 0.1250 0.1250  12 Co 2.92, 4 Y 3.05
Y 0.8750 0.8750 0.8750  12 Co 2.92, 4 Y 3.05
Co 0.0000 0.5000 0.5000  6 Co 2.49
Co 0.5000 0.0000 0.5000  6 Co 2.49
Co 0.5000 0.5000 0.0000  6 Co 2.49
Co 0.5000 0.5000 0.5000  6 Co 2.49

## Properties
The value obtained for the calculated formation energy is -0.3 eV per formula unit. For the total magnetization, the calculation gives 1.9 μB/f.u.